## NaTiPd (PBE)

Data for a relaxed structure of NaTiPd.

a = 3.1777 Å, b = 3.1777 Å, c = 11.9886 Å
α = 90.00°, β = 90.00°, γ = 90.00°
Closest atoms and distances in Å follow each position.
Space group P4/nmm (No. 129, origin choice 2)
Unique sites:
1 Na 0.2500 0.2500 0.1341 (multiplicity 2)  4 Pd 3.08, 4 Na 3.18
2 Ti 0.2500 0.2500 0.4263 (multiplicity 2)  4 Pd 2.65, 4 Ti 2.86
3 Pd 0.2500 0.2500 0.6903 (multiplicity 2)  4 Ti 2.65

The total energy is -30.719 eV/cell. The value obtained for the density is 4.863 g/cm³. The calculated formation energy comes out at -0.32 eV/atom. The density of states at the Fermi level comes out at 1.44 states/eV/f.u.

---

## Na3TiPd (PBE)

Data for a relaxed structure of Na3TiPd.

a = 5.2632 Å, b = 5.2632 Å, c = 5.2632 Å
α = 90.00°, β = 90.00°, γ = 90.00°
Closest atoms and distances in Å follow each position.
Space group Pm-3m (No. 221)
Unique sites:
1 Na 0.0000 0.0000 0.5000 (multiplicity 3)  2 Pd 2.63
2 Ti 0.5000 0.5000 0.5000 (multiplicity 1)  12 Na 3.72
3 Pd 0.0000 0.0000 0.0000 (multiplicity 1)  6 Na 2.63

The total energy is -12.531 eV/cell. The value obtained for the density is 2.543 g/cm³. The calculated formation energy comes out at 0.90 eV/atom. The energy relative to the lowest polymorph listed for this composition is 0.0 meV/atom. The density of states at the Fermi level comes out at 4.48 states/eV/f.u.